No. 1
First-principles (meta-GGA SCAN) data for a PBEsol-optimized structure of PtBrCl2, as listed in Alexandria.

## Properties
Formation energy without anion corrections in meV/atom: 552.9
E_tot in eV/atom: -25.85
Energy above the lowest structure with this stoichiometry in meV/atom: 0
DOS at the Fermi energy in states/eV per atom: 0.758

Unit cell a=7.1942 b=7.2453 c=3.2847 alpha=90.00 beta=105.57 gamma=90.00
Space group C2/m (No. 12)
One atom of each set of equivalent atoms:
Pt1 0.0000 0.0000 0.0000
Br1 0.0000 0.5000 0.0000
Cl1 0.2500 0.2500 0.0000


No. 2
First-principles (meta-GGA SCAN) data for a PBEsol-optimized structure of Mg2GaHgB, as listed in Alexandria.

## Properties
Formation energy from the elements in eV per atom: 1.06
E_tot in eV/atom: -19.32
DOS at the Fermi energy in states/eV per atom: 0.676

Unit cell a=5.1327 b=5.1327 c=4.8714 alpha=90.00 beta=90.00 gamma=90.00
Space group P4/mmm (No. 123)
One atom of each set of equivalent atoms:
Mg1 0.0000 0.5000 0.0000
Ga1 0.0000 0.0000 0.5000
Hg1 0.0000 0.0000 0.0000
B1 0.5000 0.5000 0.5000


No. 3
First-principles (meta-GGA SCAN) data for a PBEsol-optimized structure of Li2AgP2, as listed in Alexandria.

## Properties
Formation energy from the elements in eV per atom: -0.44
E_tot in eV/atom: -11.83
DOS at the Fermi energy in states/eV per atom: 0.199

Unit cell a=6.3919 b=6.3919 c=3.7855 alpha=90.00 beta=90.00 gamma=90.00
Space group P4/mbm (No. 127)
One atom of each set of equivalent atoms:
Li1 0.1734 0.3266 0.0000
Ag1 0.0000 0.0000 0.5000
P1 0.1183 0.6183 0.5000


No. 4
First-principles (meta-GGA SCAN) data for a PBEsol-optimized structure of YSi2As, as listed in Alexandria.

## Properties
Formation energy without anion corrections in meV/atom: -233.0
E_tot in eV/atom: -17.25
DOS at the Fermi energy in states/eV per atom: 0.500

Unit cell a=3.6178 b=3.6178 c=5.6718 alpha=90.00 beta=90.00 gamma=90.00
Space group P4mm (No. 99)
One atom of each set of equivalent atoms:
Y1 0.0000 0.0000 0.0000
Si1 0.0000 0.0000 0.5050
Si2 0.5000 0.5000 0.6994
As1 0.5000 0.5000 0.2677


No. 5
First-principles (meta-GGA SCAN) data for a PBEsol-optimized structure of RhSeBr2, as listed in Alexandria.

## Properties
Formation energy without anion corrections in meV/atom: 775.3
E_tot in eV/atom: -22.42
Energy above the lowest structure with this stoichiometry in meV/atom: 1007
DOS at the Fermi energy in states/eV per atom: 0.907

Unit cell a=6.6947 b=6.6947 c=6.6947 alpha=90.00 beta=90.00 gamma=90.00
Space group F-43m (No. 216)
One atom of each set of equivalent atoms:
Rh1 0.0000 0.0000 0.0000
Se1 0.2500 0.2500 0.2500
Br1 0.0000 0.0000 0.5000
Br2 0.2500 0.2500 0.7500


No. 6
First-principles (meta-GGA SCAN) data for a PBEsol-optimized structure of Sr3NiPbO6, as listed in Alexandria.

## Properties
Formation energy without anion corrections in meV/atom: -2228.4
E_tot in eV/atom: -20.06
DOS at the Fermi energy in states/eV per atom: 0.012

Unit cell a=9.6031 b=9.6031 c=11.4176 alpha=90.00 beta=90.00 gamma=120.00
Space group R-3c (No. 167, hexagonal axes)
One atom of each set of equivalent atoms:
Sr1 0.0000 0.3727 0.2500
Ni1 0.0000 0.0000 0.0000
Pb1 0.0000 0.0000 0.2500
O1 0.0204 0.1771 0.3859


No. 7
First-principles (meta-GGA SCAN) data for a PBEsol-optimized structure of P5Rh, as listed in Alexandria.

## Properties
Formation energy from the elements in eV per atom: 1.02
E_tot in eV/atom: -13.28
Energy above the lowest structure with this stoichiometry in meV/atom: 448
DOS at the Fermi energy in states/eV per atom: 0.590

Unit cell a=6.9593 b=6.9593 c=6.9593 alpha=90.00 beta=90.00 gamma=90.00
Space group F-43m (No. 216)
One atom of each set of equivalent atoms:
P1 0.0000 0.0000 0.0000
P2 0.1267 0.1267 0.6267
Rh1 0.2500 0.2500 0.2500


No. 8
First-principles (meta-GGA SCAN) data for a PBEsol-optimized structure of UGeRh, as listed in Alexandria.

## Properties
Formation energy from the elements in eV per atom: -0.57
E_tot in eV/atom: -52.70
DOS at the Fermi energy in states/eV per atom: 1.209

Unit cell a=5.8036 b=4.5126 c=7.8348 alpha=90.00 beta=90.00 gamma=90.00
Space group Pnma (No. 62)
One atom of each set of equivalent atoms:
U1 0.0040 0.2500 0.2283
Ge1 0.2182 0.2500 0.5838
Rh1 0.2406 0.7500 0.4170


No. 9
First-principles (meta-GGA SCAN) data for a PBEsol-optimized structure of CeSn2Pd2, as listed in Alexandria.

## Properties
Formation energy from the elements in eV per atom: -0.80
E_tot in eV/atom: -37.20
DOS at the Fermi energy in states/eV per atom: 0.742

Unit cell a=4.5176 b=4.5176 c=10.5430 alpha=90.00 beta=90.00 gamma=90.00
Space group P4/nmm (No. 129, origin choice 2)
One atom of each set of equivalent atoms:
Ce1 0.2500 0.2500 0.2421
Sn1 0.2500 0.2500 0.8715
Sn2 0.2500 0.7500 0.5000
Pd1 0.2500 0.2500 0.6297
Pd2 0.2500 0.7500 0.0000


No. 10
First-principles (meta-GGA SCAN) data for a PBEsol-optimized structure of CaZr4Tc, as listed in Alexandria.

## Properties
Formation energy from the elements in eV per atom: 0.67
E_tot in eV/atom: -27.25
DOS at the Fermi energy in states/eV per atom: 1.636

Unit cell a=8.0550 b=8.0550 c=8.0550 alpha=90.00 beta=90.00 gamma=90.00
Space group F-43m (No. 216)
One atom of each set of equivalent atoms:
Ca1 0.0000 0.0000 0.0000
Zr1 0.1230 0.1230 0.3770
Tc1 0.2500 0.2500 0.7500


No. 11
First-principles (meta-GGA SCAN) data for a PBEsol-optimized structure of Na2IN, as listed in Alexandria.

## Properties
Formation energy without anion corrections in meV/atom: 102.1
E_tot in eV/atom: -13.51
DOS at the Fermi energy in states/eV per atom: 0.471

Unit cell a=9.2712 b=9.2712 c=4.9890 alpha=90.00 beta=90.00 gamma=90.00
Space group I4_1/amd (No. 141, origin choice 2)
One atom of each set of equivalent atoms:
Na1 0.0000 0.0000 0.0000
I1 0.0000 0.2500 0.3750
N1 0.0000 0.2500 0.8750


No. 12
First-principles (meta-GGA SCAN) data for a PBEsol-optimized structure of PbAu, as listed in Alexandria.

## Properties
Formation energy from the elements in eV per atom: 0.03
E_tot in eV/atom: -72.44
DOS at the Fermi energy in states/eV per atom: 0.426

Unit cell a=10.9865 b=3.3193 c=5.2893 alpha=90.00 beta=109.85 gamma=90.00
Space group C2/m (No. 12)
One atom of each set of equivalent atoms:
Pb1 0.1040 0.0000 0.3247
Au1 0.1470 0.5000 0.8510


No. 13
First-principles (meta-GGA SCAN) data for a PBEsol-optimized structure of FeAgC2, as listed in Alexandria.

## Properties
Formation energy from the elements in eV per atom: 1.22
E_tot in eV/atom: -16.20
DOS at the Fermi energy in states/eV per atom: 0.557

Unit cell a=4.6043 b=4.6043 c=8.8025 alpha=90.00 beta=90.00 gamma=90.00
Space group I-42d (No. 122)
One atom of each set of equivalent atoms:
Fe1 0.0000 0.0000 0.0000
Ag1 0.0000 0.0000 0.5000
C1 0.1726 0.2500 0.1250


No. 14
First-principles (meta-GGA SCAN) data for a PBEsol-optimized structure of Co3WO8, as listed in Alexandria.

## Properties
Formation energy without anion corrections in meV/atom: -1571.3
E_tot in eV/atom: -15.86

Unit cell a=5.6130 b=5.6130 c=8.9127 alpha=90.00 beta=90.00 gamma=120.00
Space group P6_3mc (No. 186)
One atom of each set of equivalent atoms:
Co1 0.1685 0.3370 0.0000
W1 0.3333 0.6667 0.7191
O1 0.0000 0.0000 0.4088
O2 0.0379 0.5190 0.8800
O3 0.1673 0.3346 0.6169
O4 0.3333 0.6667 0.1038


No. 15
First-principles (meta-GGA SCAN) data for a PBEsol-optimized structure of MnPIr2, as listed in Alexandria.

## Properties
Formation energy from the elements in eV per atom: -0.14
E_tot in eV/atom: -42.85
DOS at the Fermi energy in states/eV per atom: 0.408

Unit cell a=5.9857 b=5.9857 c=5.9857 alpha=90.00 beta=90.00 gamma=90.00
Space group Fm-3m (No. 225)
One atom of each set of equivalent atoms:
Mn1 0.0000 0.0000 0.0000
P1 0.0000 0.0000 0.5000
Ir1 0.2500 0.2500 0.2500


No. 16
First-principles (meta-GGA SCAN) data for a PBEsol-optimized structure of CrAgW2, as listed in Alexandria.

## Properties
Formation energy from the elements in eV per atom: 0.66
E_tot in eV/atom: -46.62
Energy above the lowest structure with this stoichiometry in meV/atom: 137
DOS at the Fermi energy in states/eV per atom: 0.552

Unit cell a=9.1970 b=2.6056 c=5.0181 alpha=90.00 beta=96.89 gamma=90.00
Space group C2/m (No. 12)
One atom of each set of equivalent atoms:
Cr1 0.0000 0.0000 0.0000
Ag1 0.0000 0.5000 0.5000
W1 0.2495 0.5000 0.2457


No. 17
First-principles (meta-GGA SCAN) data for a PBEsol-optimized structure of TlWAu, as listed in Alexandria.

## Properties
Formation energy from the elements in eV per atom: 1.06
E_tot in eV/atom: -69.34
Energy above the lowest structure with this stoichiometry in meV/atom: 0
DOS at the Fermi energy in states/eV per atom: 0.850

Unit cell a=4.6828 b=4.6828 c=2.8691 alpha=90.00 beta=90.00 gamma=120.00
Space group P3m1 (No. 156)
One atom of each set of equivalent atoms:
Tl1 0.0000 0.0000 0.0000
W1 0.6667 0.3333 0.4561
Au1 0.3333 0.6667 0.9101


No. 18
First-principles (meta-GGA SCAN) data for a PBEsol-optimized structure of MnTl2Au, as listed in Alexandria.

## Properties
Formation energy from the elements in eV per atom: 0.03
E_tot in eV/atom: -58.00
Energy above the lowest structure with this stoichiometry in meV/atom: 103
DOS at the Fermi energy in states/eV per atom: 0.451

Unit cell a=3.1231 b=4.7774 c=11.1616 alpha=90.00 beta=90.00 gamma=90.00
Space group Imm2 (No. 44)
One atom of each set of equivalent atoms:
Mn1 0.0000 0.0000 0.0000
Tl1 0.0000 0.0000 0.4854
Tl2 0.0000 0.5000 0.2761
Au1 0.0000 0.5000 0.6910


No. 19
First-principles (meta-GGA SCAN) data for a PBEsol-optimized structure of ZrPtW2, as listed in Alexandria.

## Properties
Formation energy from the elements in eV per atom: 0.02
E_tot in eV/atom: -60.04
Energy above the lowest structure with this stoichiometry in meV/atom: 156
DOS at the Fermi energy in states/eV per atom: 0.691

Unit cell a=3.6471 b=4.1023 c=8.8848 alpha=90.00 beta=90.00 gamma=90.00
Space group Cmmm (No. 65)
One atom of each set of equivalent atoms:
Zr1 0.0000 0.0000 0.0000
Pt1 0.0000 0.0000 0.5000
W1 0.0000 0.5000 0.2699


No. 20
First-principles (meta-GGA SCAN) data for a PBEsol-optimized structure of NiAs2Br, as listed in Alexandria.

## Properties
Formation energy without anion corrections in meV/atom: 418.5
E_tot in eV/atom: -18.58
Energy above the lowest structure with this stoichiometry in meV/atom: 207
DOS at the Fermi energy in states/eV per atom: 0.537

Unit cell a=3.5741 b=3.5741 c=12.3331 alpha=90.00 beta=90.00 gamma=90.00
Space group I4/mmm (No. 139)
One atom of each set of equivalent atoms:
Ni1 0.0000 0.0000 0.0000
As1 0.0000 0.5000 0.2500
Br1 0.0000 0.0000 0.5000


No. 21
First-principles (meta-GGA SCAN) data for a PBEsol-optimized structure of SrCdBr2, as listed in Alexandria.

## Properties
Formation energy without anion corrections in meV/atom: -1287.3
E_tot in eV/atom: -24.19
Energy above the lowest structure with this stoichiometry in meV/atom: 104

Unit cell a=4.6035 b=4.6035 c=10.6388 alpha=90.00 beta=90.00 gamma=90.00
Space group I-4m2 (No. 119)
One atom of each set of equivalent atoms:
Sr1 0.0000 0.0000 0.0000
Cd1 0.0000 0.5000 0.7500
Br1 0.0000 0.0000 0.5000
Br2 0.0000 0.5000 0.2500


No. 22
First-principles (meta-GGA SCAN) data for a PBEsol-optimized structure of K3FeHg, as listed in Alexandria.

## Properties
Formation energy from the elements in eV per atom: 0.71
E_tot in eV/atom: -21.55
DOS at the Fermi energy in states/eV per atom: 2.516

Unit cell a=6.3501 b=6.3501 c=6.3501 alpha=90.00 beta=90.00 gamma=90.00
Space group Pm-3m (No. 221)
One atom of each set of equivalent atoms:
K1 0.0000 0.0000 0.5000
Fe1 0.5000 0.5000 0.5000
Hg1 0.0000 0.0000 0.0000


No. 23
First-principles (meta-GGA SCAN) data for a PBEsol-optimized structure of Dy3In4Co2, as listed in Alexandria.

## Properties
Formation energy from the elements in eV per atom: -0.45
E_tot in eV/atom: -35.06
DOS at the Fermi energy in states/eV per atom: 0.634

Unit cell a=7.7031 b=7.7031 c=3.5996 alpha=90.00 beta=90.00 gamma=120.00
Space group P-6 (No. 174)
One atom of each set of equivalent atoms:
Dy1 0.0880 0.3738 0.0000
In1 0.0000 0.0000 0.5000
In2 0.4144 0.3310 0.5000
Co1 0.3333 0.6667 0.5000
Co2 0.6667 0.3333 0.0000


No. 24
First-principles (meta-GGA SCAN) data for a PBEsol-optimized structure of HOsCl2, as listed in Alexandria.

## Properties
E_tot in eV/atom: -21.94
DOS at the Fermi energy in states/eV per atom: 0.181

Unit cell a=4.9158 b=4.9158 c=9.2107 alpha=90.00 beta=90.00 gamma=90.00
Space group I-42d (No. 122)
One atom of each set of equivalent atoms:
H1 0.0000 0.0000 0.0000
Os1 0.0000 0.0000 0.5000
Cl1 0.1879 0.2500 0.1250


No. 25
First-principles (meta-GGA SCAN) data for a PBEsol-optimized structure of BiTePS2, as listed in Alexandria.

## Properties
Formation energy without anion corrections in meV/atom: 987.2
E_tot in eV/atom: -28.11
Energy above the lowest structure with this stoichiometry in meV/atom: 315
DOS at the Fermi energy in states/eV per atom: 0.905

Unit cell a=5.0303 b=5.0303 c=5.3055 alpha=90.00 beta=90.00 gamma=90.00
Space group P4/mmm (No. 123)
One atom of each set of equivalent atoms:
Bi1 0.0000 0.0000 0.0000
Te1 0.5000 0.5000 0.5000
P1 0.0000 0.0000 0.5000
S1 0.0000 0.5000 0.0000